This record from Alexandria describes a relaxed structure of ZrCrO2F. The functional is PBE+U.

abc: 3.9314 3.9314 3.8846
angles: 90.00 90.00 90.00
Closest atoms and distances in Å follow each position.
Space group P4/mmm (No. 123)
Symmetry-distinct sites (fractional):
Zr  0.0000  0.0000  0.0000 x1  8 O 2.76, 4 F 2.78
Cr  0.5000  0.5000  0.5000 x1  2 F 1.94, 4 O 1.97
O  0.0000  0.5000  0.5000 x2  2 Cr 1.97
F  0.5000  0.5000  0.0000 x1  2 Cr 1.94

Values from the calculation:
M_tot: 0.752 μB/atom
Raw total energy: -35.91 eV/cell